Entry 1:
Sc3BiB: optimized geometry, PBE.

POSCAR file:
```
Sc3BiB
1.0
4.268 0.000 0.000
-2.134 3.696 0.000
0.000 0.000 15.677
Sc Bi B
6 2 2
Direct
0.000 0.000 0.250
0.000 0.000 0.750
0.333 0.667 0.103
0.333 0.667 0.397
0.667 0.333 0.603
0.667 0.333 0.897
0.000 0.000 0.000
0.000 0.000 0.500
0.333 0.667 0.250
0.667 0.333 0.750
```

Results
Crystal system: hexagonal
ΔE_f: -2.07 kcal/mol of atoms
Volume: 24.73 Å³ per atom
Space-group type: P6_3/mmc

Entry 2:
NaLuCu4: optimized geometry, PBE.

POSCAR file:
```
NaLuCu4
1.0
0.000 3.627 3.627
3.627 0.000 3.627
3.627 3.627 0.000
Na Lu Cu
1 1 4
Direct
0.000 0.000 0.000
0.250 0.250 0.250
0.124 0.625 0.625
0.625 0.124 0.625
0.625 0.625 0.124
0.625 0.625 0.625
```

Results
Crystal system: cubic
ΔE_f: -0.75 kcal/mol of atoms
Volume: 15.91 Å³ per atom
Space-group type: F-43m

Entry 3:
Li2TbTc2N4: optimized geometry, PBE.

POSCAR file:
```
Li2TbTc2N4
1.0
5.224 -1.643 0.000
5.224 1.643 0.000
-4.119 0.000 6.937
Li Tb Tc N
2 1 2 4
Direct
0.152 0.152 0.251
0.848 0.848 0.749
0.000 0.000 0.500
0.356 0.356 0.115
0.644 0.644 0.885
0.224 0.224 0.815
0.448 0.448 0.672
0.552 0.552 0.328
0.776 0.776 0.185
```

Results
Crystal system: monoclinic
Formation energy (no corrections): -0.475 eV/atom
Volume: 13.23 Å³ per atom
Space-group type: C2/m

Entry 4:
TlZnMo2: optimized geometry, PBE.

POSCAR file:
```
TlZnMo2
1.0
-1.692 2.344 4.424
1.692 -2.344 4.424
1.692 2.344 -4.424
Tl Zn Mo
1 1 2
Direct
0.000 0.000 0.000
0.742 0.242 0.500
0.274 0.774 0.500
0.487 0.487 0.000
```

Results
Crystal system: orthorhombic
ΔE_f: 11.16 kcal/mol of atoms
Volume: 17.56 Å³ per atom
Space-group type: Imm2

Entry 5:
BeW2Cl: optimized geometry, PBE.

POSCAR file:
```
BeW2Cl
1.0
-1.949 1.949 3.870
1.949 -1.949 3.870
1.949 1.949 -3.870
Be W Cl
1 2 1
Direct
0.000 0.000 0.000
0.500 0.500 0.000
0.750 0.250 0.500
0.250 0.750 0.500
```

Results
Crystal system: tetragonal
Formation energy (no corrections): 1.037 eV/atom
Volume: 14.70 Å³ per atom
Space-group type: I-4m2

Entry 6:
LaPaHgBi: optimized geometry, PBE.

POSCAR file:
```
LaPaHgBi
1.0
0.000 3.883 3.883
3.883 0.000 3.883
3.883 3.883 0.000
La Pa Hg Bi
1 1 1 1
Direct
0.000 0.000 0.000
0.500 0.500 0.500
0.750 0.750 0.750
0.250 0.250 0.250
```

Results
Crystal system: cubic
ΔE_f: -4.09 kcal/mol of atoms
Volume: 29.27 Å³ per atom
Space-group type: F-43m

Entry 7:
ZnFeSi2Ir: optimized geometry, PBE.

POSCAR file:
```
ZnFeSi2Ir
1.0
4.366 0.000 0.000
0.000 4.366 0.000
0.000 0.000 4.226
Zn Fe Si Ir
1 1 2 1
Direct
0.000 0.000 0.000
0.000 0.000 0.500
0.000 0.500 0.000
0.500 0.000 0.000
0.500 0.500 0.500
```

Results
Crystal system: tetragonal
Formation energy (no corrections): 1.427 eV/atom
Volume: 16.11 Å³ per atom
Space-group type: P4/mmm

Entry 8:
ZnCo2CuSn: optimized geometry, PBE.

POSCAR file:
```
ZnCo2CuSn
1.0
4.738 0.000 0.000
0.000 4.738 0.000
0.000 0.000 4.737
Zn Co Cu Sn
1 2 1 1
Direct
0.000 0.000 0.000
0.000 0.500 0.500
0.500 0.000 0.500
0.500 0.500 0.000
0.500 0.500 0.500
```

Results
Crystal system: tetragonal
ΔE_f: 27.98 kcal/mol of atoms
Volume: 21.27 Å³ per atom
Space-group type: P4/mmm

Entry 9:
Ga6Ir5Pd: optimized geometry, PBE.

POSCAR file:
```
Ga6Ir5Pd
1.0
-2.191 2.998 6.586
2.191 -2.998 6.586
2.191 2.998 -6.586
Ga Ir Pd
6 5 1
Direct
0.081 0.332 0.749
0.248 0.000 0.248
0.417 0.668 0.749
0.583 0.332 0.251
0.752 0.000 0.752
0.919 0.668 0.251
0.169 0.169 0.000
0.337 0.837 0.500
0.500 0.500 0.000
0.663 0.163 0.500
0.831 0.831 0.000
0.000 0.500 0.500
```

Results
Crystal system: orthorhombic
ΔE_f: -9.37 kcal/mol of atoms
Volume: 14.42 Å³ per atom
Space-group type: Immm

Entry 10:
ScTeMo3: optimized geometry, PBE.

POSCAR file:
```
ScTeMo3
1.0
4.887 0.000 0.000
0.000 4.887 0.000
0.000 0.000 4.887
Sc Te Mo
1 1 3
Direct
0.000 0.000 0.000
0.500 0.500 0.500
0.000 0.500 0.500
0.500 0.000 0.500
0.500 0.500 0.000
```

Results
Crystal system: cubic
Formation energy (no corrections): 1.433 eV/atom
Volume: 23.35 Å³ per atom
Space-group type: Pm-3m

Entry 11:
FeTcRh4: optimized geometry, PBE.

POSCAR file:
```
FeTcRh4
1.0
0.000 3.564 3.564
3.564 0.000 3.564
3.564 3.564 0.000
Fe Tc Rh
1 1 4
Direct
0.000 0.000 0.000
0.250 0.250 0.250
0.125 0.625 0.625
0.625 0.125 0.625
0.625 0.625 0.125
0.625 0.625 0.625
```

Results
Crystal system: cubic
ΔE_f: 9.34 kcal/mol of atoms
Volume: 15.09 Å³ per atom
Space-group type: F-43m

Entry 12:
Ac3SiP2Rh9: optimized geometry, PBE.

POSCAR file:
```
Ac3SiP2Rh9
1.0
6.650 0.000 0.000
-3.325 5.759 0.000
0.000 0.000 7.513
Ac Si P Rh
3 1 2 9
Direct
0.000 0.000 0.000
0.333 0.667 0.667
0.667 0.333 0.333
0.000 0.000 0.500
0.333 0.667 0.161
0.667 0.333 0.839
0.000 0.500 0.000
0.172 0.344 0.335
0.172 0.828 0.335
0.344 0.172 0.665
0.500 0.000 0.000
0.500 0.500 0.000
0.656 0.828 0.335
0.828 0.172 0.665
0.828 0.656 0.665
```

Results
Crystal system: trigonal
Formation energy (no corrections): -0.691 eV/atom
Volume: 19.18 Å³ per atom
Space-group type: P-3m1

no.,VASP energy (eV per atom)
1,-6.000
2,-3.737
3,-7.418
4,-5.842
5,-6.833
6,-4.829
7,-4.462
8,-3.504
9,-6.045
10,-6.960
11,-7.634
12,-7.006